(1)
Material: LiTe2Pb
Method: DFT, GGA-PBEsol
State: relaxed

Results
The value obtained for the uncorrected formation energy is -1.8 eV per formula unit. The calculation puts the calculated density at 7091 kg/m3. Its final energy is -14.9 eV per cell. The total magnetization is 0.00 μB/atom. The value obtained for the density of states at the Fermi level is 0.703 states/eV/atom.

POSCAR file:
```
LiTe2Pb
1.0
2.155 1.244 6.834
-2.155 1.244 6.834
0.000 -2.488 6.834
Li Te Pb
1 2 1
direct
0.000 0.000 0.000
0.261 0.261 0.261
0.739 0.739 0.739
0.500 0.500 0.500
```

***

(2)
Material: LiTe2Pb
Method: DFT, GGA-PBEsol
State: relaxed

Results
The value obtained for the uncorrected formation energy is -1.5 eV per formula unit. The calculation puts the calculated density at 6923 kg/m3. Its final energy is -14.6 eV per cell. The total magnetization is 0.00 μB/atom. The value obtained for the density of states at the Fermi level is 0.446 states/eV/atom.

POSCAR file:
```
LiTe2Pb
1.0
-1.993 2.110 6.692
1.993 -2.110 6.692
1.993 2.110 -6.692
Li Te Pb
1 2 1
direct
0.000 0.000 0.000
0.446 0.446 0.000
0.658 0.158 0.500
0.266 0.766 0.500
```